# Pr6Sm2Tm3In PBE-GGA optimized geometry
# - Calculated total energy: -109.53 eV for the cell shown
# - Formation enthalpy at 0 K: -0.04 eV per atom
data_Pr6Sm2Tm3In
_chemical_formula_sum 'Pr12 Sm4 Tm6 In2'
_cell_length_a 6.223
_cell_length_b 10.801
_cell_length_c 11.894
_cell_angle_alpha 90.00
_cell_angle_beta 100.10
_cell_angle_gamma 90.00
_symmetry_space_group_name_H-M 'C 1 2/m 1'
_symmetry_Int_Tables_number 12
loop_
_symmetry_equiv_pos_as_xyz
'x,y,z'
'-x,-y,-z'
'-x,y,-z'
'x,-y,z'
'x+1/2,y+1/2,z'
'-x+1/2,-y+1/2,-z'
'-x+1/2,y+1/2,-z'
'x+1/2,-y+1/2,z'
loop_
_atom_site_label
_atom_site_type_symbol
_atom_site_fract_x
_atom_site_fract_y
_atom_site_fract_z
Pr1 Pr 0.242 0.000 0.248
Pr2 Pr 0.247 0.163 0.752
Sm1 Sm 0.000 0.333 0.500
Tm1 Tm 0.000 0.167 0.000
Tm2 Tm 0.000 0.500 0.000
In1 In 0.000 0.000 0.500

# Sr2ScNi3As4 PBE-GGA optimized geometry
# - Calculated total energy: -53.52 eV for the cell shown
# - Formation enthalpy at 0 K: -0.79 eV per atom
data_Sr2ScNi3As4
_chemical_formula_sum 'Sr2 Sc1 Ni3 As4'
_cell_length_a 4.284
_cell_length_b 4.284
_cell_length_c 10.427
_cell_angle_alpha 90.00
_cell_angle_beta 90.00
_cell_angle_gamma 90.00
_symmetry_space_group_name_H-M 'P -4 m 2'
_symmetry_Int_Tables_number 115
loop_
_symmetry_equiv_pos_as_xyz
'x,y,z'
'y,-x,-z'
'-x,-y,z'
'-y,x,-z'
'-x,y,z'
'-y,-x,-z'
'x,-y,z'
'y,x,-z'
loop_
_atom_site_label
_atom_site_type_symbol
_atom_site_fract_x
_atom_site_fract_y
_atom_site_fract_z
Sr1 Sr 0.000 0.500 0.232
Sc1 Sc 0.000 0.000 0.500
Ni1 Ni 0.000 0.500 0.891
Ni2 Ni 0.500 0.500 0.500
As1 As 0.000 0.000 0.000
As2 As 0.000 0.500 0.649
As3 As 0.500 0.500 0.000

- What is the formula in the first record?
  Pr6Sm2Tm3In